[1]
This record from the Alexandria database describes a relaxed TlZnTc2O8 crystal. The functional is GGA-PBE.

a = 5.4450 Å, b = 5.4450 Å, c = 8.0605 Å
α = 86.90°, β = 86.90°, γ = 65.25°
Closest atoms and distances in Å follow each position.
Atoms (fractional coordinates):
O1 0.3044 0.3044 0.5927  1 Tc 1.74
O2 0.2231 0.2231 0.9441  1 Tc 1.76
O3 0.7769 0.7769 0.0559  1 Tc 1.76
O4 0.6956 0.6956 0.4073  1 Tc 1.74
O5 0.2282 0.7260 0.8140  1 Tc 1.78
O6 0.7718 0.2740 0.1860  1 Tc 1.78
O7 0.7260 0.2282 0.8140  1 Tc 1.78
O8 0.2740 0.7718 0.1860  1 Tc 1.78
Zn1 0.0000 0.0000 0.0000  6 O 2.07-2.12
Tc1 0.3693 0.3693 0.7915  4 O 1.74-1.78
Tc2 0.6307 0.6307 0.2085  4 O 1.74-1.78
Tl1 0.0000 0.0000 0.5000  6 O 2.93-2.94

Total energy ... -6.6523 eV per atom
E_form (uncorrected) ... -1.32 eV/atom
Space-group type ... C2/m

=====

[2]
This record from the Alexandria database describes a relaxed Cs2Ge3 crystal. The functional is GGA-PBE.

a = 7.6590 Å, b = 6.8576 Å, c = 8.7520 Å
α = 75.86°, β = 64.05°, γ = 56.05°
Closest atoms and distances in Å follow each position.
Atoms (fractional coordinates):
Cs1 0.5710 0.1769 0.3754  6 Ge 3.50-3.89
Cs2 0.1232 0.8231 0.6246  6 Ge 3.50-3.89
Cs3 0.4979 0.3231 0.8754  6 Ge 3.50-3.89
Cs4 0.6963 0.6769 0.1246  6 Ge 3.50-3.89
Ge1 0.1354 0.6613 0.2468  2 Ge 2.73-2.75
Ge2 0.5467 0.8387 0.7468  2 Ge 2.73-2.75
Ge3 0.1322 0.1613 0.2532  2 Ge 2.73-2.75
Ge4 0.0435 0.3387 0.7532  2 Ge 2.73-2.75
Ge5 0.8769 0.5000 0.5000  4 Ge 2.73-2.75
Ge6 0.1269 0.0000 0.0000  4 Ge 2.73-2.75

Total energy ... -3.0110 eV per atom
Calculated formation energy ... 101 meV/atom
Space-group type ... Fdd2
Energy relative to the lowest polymorph listed for this composition ... 24 meV per atom

=====

[3]
This record from the Alexandria database describes a relaxed KP15 crystal. The functional is GGA-PBE.

a = 7.4618 Å, b = 9.4906 Å, c = 12.5320 Å
α = 89.74°, β = 100.96°, γ = 110.99°
Closest atoms and distances in Å follow each position.
Atoms (fractional coordinates):
P1 0.3092 0.9848 0.6016  3 P 2.20-2.26
P2 0.0336 0.8947 0.6669  3 P 2.16-2.24
P3 0.5239 0.2667 0.8194  3 P 2.23-2.30
P4 0.7586 0.5030 0.8193  3 P 2.24-2.30
P5 0.0175 0.4352 0.8213  3 P 2.20-2.24
P6 0.2988 0.4634 0.3590  3 P 2.20-2.24
P7 0.3422 0.7988 0.8435  3 P 2.16-2.24
P8 0.6637 0.3102 0.5751  3 P 2.21-2.32
P9 0.9664 0.1053 0.3331  3 P 2.16-2.24
P10 0.2414 0.4970 0.1807  3 P 2.24-2.30
P11 0.5233 0.9158 0.7232  3 P 2.20-2.26
P12 0.4761 0.7333 0.1806  3 P 2.23-2.30
P13 0.2885 0.8731 0.1791  3 P 2.20-2.24
P14 0.7115 0.1269 0.8209  3 P 2.20-2.24
P15 0.9825 0.5648 0.1787  3 P 2.20-2.24
P16 0.3930 0.2287 0.6413  3 P 2.20-2.23
P17 0.0102 0.3372 0.3974  3 P 2.20-2.26
P18 0.6908 0.0152 0.3984  3 P 2.20-2.26
P19 0.6578 0.2012 0.1565  3 P 2.16-2.24
P20 0.7953 0.4045 0.2751  3 P 2.20-2.26
P21 0.1243 0.8995 0.8416  2 P 2.16
P22 0.1157 0.7597 0.3006  3 P 2.21-2.32
P23 0.8757 0.1005 0.1584  2 P 2.16
P24 0.6070 0.7713 0.3587  3 P 2.20-2.23
P25 0.4767 0.0842 0.2768  3 P 2.20-2.26
P26 0.7012 0.5366 0.6410  3 P 2.20-2.24
P27 0.8843 0.2403 0.6994  3 P 2.21-2.32
P28 0.9898 0.6628 0.6026  3 P 2.20-2.26
P29 0.2047 0.5955 0.7249  3 P 2.20-2.26
P30 0.3363 0.6898 0.4249  3 P 2.21-2.32
K1 0.7784 0.7810 0.9990  6 P 3.41-3.53
K2 0.2216 0.2190 0.0010  6 P 3.41-3.53

Total energy ... -5.2434 eV per atom
Calculated formation energy ... -103 meV/atom
Space-group type ... P-1

=====

[4]
This record from the Alexandria database describes a relaxed SmErCoPd crystal. The functional is GGA-PBE.

a = 4.8822 Å, b = 4.8822 Å, c = 4.8822 Å
α = 60.00°, β = 60.00°, γ = 60.00°
Closest atoms and distances in Å follow each position.
Atoms (fractional coordinates):
Co1 0.5000 0.5000 0.5000  4 Sm 2.99, 4 Er 2.99
Er1 0.2500 0.2500 0.2500  4 Co 2.99, 4 Pd 2.99
Sm1 0.7500 0.7500 0.7500  4 Co 2.99, 4 Pd 2.99
Pd1 0.0000 0.0000 0.0000  4 Er 2.99, 4 Sm 2.99

Total energy ... -5.8407 eV per atom
Calculated formation energy ... -446 meV/atom
Space-group type ... F-43m

=====

[5]
This record from the Alexandria database describes a relaxed CoRe2W crystal. The functional is GGA-PBE.

a = 2.6972 Å, b = 2.6972 Å, c = 7.8142 Å
α = 90.00°, β = 90.00°, γ = 90.00°
Closest atoms and distances in Å follow each position.
Atoms (fractional coordinates):
W1 0.5000 0.5000 0.2500  4 W 2.70, 8 Re 2.87
Co1 0.5000 0.5000 0.7500  8 Re 2.60, 4 Co 2.70
Re1 0.0000 0.0000 0.9762  4 Co 2.60, 4 Re 2.70, 4 W 2.87
Re2 0.0000 0.0000 0.5238  4 Co 2.60, 4 Re 2.70, 4 W 2.87

Total energy ... -11.0651 eV per atom
Calculated formation energy ... 174 meV/atom
Space-group type ... P4/mmm
Energy relative to the lowest polymorph listed for this composition ... 130 meV per atom

=====

[6]
This record from the Alexandria database describes a relaxed Sm5Sc4Ga4 crystal. The functional is GGA-PBE.

a = 4.5841 Å, b = 8.8160 Å, c = 8.8160 Å
α = 86.12°, β = 74.93°, γ = 74.93°
Closest atoms and distances in Å follow each position.
Atoms (fractional coordinates):
Sc1 0.5873 0.3132 0.5122  3 Ga 2.87-2.93, 1 Sc 3.19
Sc2 0.0995 0.4878 0.3132  3 Ga 2.87-2.93, 1 Sc 3.19
Sc3 0.9005 0.5122 0.6868  3 Ga 2.87-2.93, 1 Sc 3.19
Sc4 0.4127 0.6868 0.4878  3 Ga 2.87-2.93, 1 Sc 3.19
Sm1 0.6206 0.6807 0.0780  5 Ga 3.15-3.33, 3 Sc 3.46-3.49
Sm2 0.3794 0.3193 0.9220  5 Ga 3.15-3.33, 3 Sc 3.46-3.49
Sm3 0.6986 0.9220 0.6807  5 Ga 3.15-3.33, 3 Sc 3.46-3.49
Sm4 0.0000 0.0000 0.0000  4 Ga 3.13
Sm5 0.3014 0.0780 0.3193  5 Ga 3.15-3.33, 3 Sc 3.46-3.49
Ga1 0.9263 0.8244 0.3231  3 Sc 2.87-2.93, 4 Sm 3.13-3.16
Ga2 0.2494 0.6769 0.8244  3 Sc 2.87-2.93, 4 Sm 3.13-3.16
Ga3 0.0737 0.1756 0.6769  3 Sc 2.87-2.93, 4 Sm 3.13-3.16
Ga4 0.7506 0.3231 0.1756  3 Sc 2.87-2.93, 4 Sm 3.13-3.16

Total energy ... -5.0869 eV per atom
Calculated formation energy ... -392 meV/atom
Space-group type ... I4/m

=====

[7]
This record from the Alexandria database describes a relaxed YScAs2 crystal. The functional is GGA-PBE.

a = 6.3061 Å, b = 6.3061 Å, c = 7.6921 Å
α = 65.80°, β = 65.80°, γ = 90.00°
Closest atoms and distances in Å follow each position.
Atoms (fractional coordinates):
Y1 0.7500 0.2500 0.5000  4 As 2.81
Y2 0.0000 0.0000 0.0000  4 As 2.81
Sc1 0.2500 0.7500 0.5000  4 As 2.65
Sc2 0.5000 0.5000 0.0000  4 As 2.65
As1 0.6033 0.1250 0.2500  2 Sc 2.65, 2 Y 2.81
As2 0.1467 0.6250 0.2500  2 Sc 2.65, 2 Y 2.81
As3 0.3750 0.3967 0.7500  2 Sc 2.65, 2 Y 2.81
As4 0.8750 0.8533 0.7500  2 Sc 2.65, 2 Y 2.81

Total energy ... -6.4739 eV per atom
Calculated formation energy ... -950 meV/atom
Space-group type ... I-42d
Energy relative to the lowest polymorph listed for this composition ... 502 meV per atom

=====

[8]
This record from the Alexandria database describes a relaxed Tl3Br5 crystal. The functional is GGA-PBE.

a = 6.4393 Å, b = 6.4393 Å, c = 6.4455 Å
α = 90.00°, β = 90.00°, γ = 98.60°
Closest atoms and distances in Å follow each position.
Atoms (fractional coordinates):
Br1 0.0000 0.0000 0.0000  4 Br 3.22
Br2 0.5000 0.0000 0.0000  2 Tl 3.22, 2 Br 3.22
Br3 0.0000 0.5000 0.0000  2 Tl 3.22, 2 Br 3.22
Br4 0.7187 0.7187 0.5000  4 Tl 3.17-3.33
Br5 0.2813 0.2813 0.5000  4 Tl 3.17-3.33
Tl1 0.7841 0.2159 0.5000  4 Br 3.17-3.33
Tl2 0.2159 0.7841 0.5000  4 Br 3.17-3.33
Tl3 0.5000 0.5000 0.0000  4 Br 3.22

Total energy ... -2.4329 eV per atom
E_form (uncorrected) ... -0.50 eV/atom
Space-group type ... Cmmm

=====

[9]
This record from the Alexandria database describes a relaxed ScCrMo2 crystal. The functional is GGA-PBE.

a = 2.7675 Å, b = 2.7675 Å, c = 8.8797 Å
α = 90.00°, β = 90.00°, γ = 109.84°
Closest atoms and distances in Å follow each position.
Atoms (fractional coordinates):
Mo1 0.0000 0.0000 0.9869  2 Cr 2.52, 6 Mo 2.71-2.77
Mo2 0.5000 0.5000 0.2347  6 Mo 2.71-2.77, 2 Sc 2.93
Sc1 0.0000 0.0000 0.5117  2 Cr 2.77, 4 Sc 2.77, 2 Mo 2.93
Cr1 0.5000 0.5000 0.7667  2 Mo 2.52, 2 Sc 2.77, 4 Cr 2.77

Total energy ... -9.1918 eV per atom
Calculated formation energy ... 212 meV/atom
Space-group type ... Cmm2
Energy relative to the lowest polymorph listed for this composition ... 88 meV per atom

=====

[10]
This record from the Alexandria database describes a relaxed InAg2Ru crystal. The functional is GGA-PBE.

a = 4.9662 Å, b = 4.9662 Å, c = 5.1656 Å
α = 79.20°, β = 79.20°, γ = 34.72°
Closest atoms and distances in Å follow each position.
Atoms (fractional coordinates):
Ag1 0.0038 0.0038 0.0124  5 Ag 2.79-2.96, 3 Ru 2.91-3.05, 4 In 2.92-3.04
Ag2 0.2510 0.2510 0.2292  5 Ag 2.79-2.96, 4 Ru 2.97-2.98, 3 In 3.00-3.03
In1 0.4953 0.4953 0.5295  3 Ru 2.78-2.80, 7 Ag 2.92-3.04, 2 In 2.96
Ru1 0.7499 0.7499 0.7289  3 In 2.78-2.80, 7 Ag 2.91-3.05, 2 Ru 2.96

Total energy ... -4.1398 eV per atom
Calculated formation energy ... 289 meV/atom
Space-group type ... Cm